Arrangement w

# Ge2MoIr GGA-PBE relaxed
# Total magnetic moment ... 0.23 μB per atom
data_Ge2MoIr
_cell_length_a 6.820
_cell_length_b 6.820
_cell_length_c 5.874
_cell_angle_alpha 90.00
_cell_angle_beta 90.00
_cell_angle_gamma 90.00
_space_group_name_H-M_alt 'I -4 2 d'
_space_group_IT_number 122
_space_group_name_Hall 'I -4 2bw'
loop_
_atom_site_label
_atom_site_fract_x
_atom_site_fract_y
_atom_site_fract_z
Ge1 0.230 0.250 0.125
Mo1 0.000 0.000 0.500
Ir1 0.000 0.000 0.000

=====

Arrangement x

# Ge2MoIr GGA-PBE relaxed
# Total magnetic moment ... 0.00 μB per atom
data_Ge2MoIr
_cell_length_a 4.398
_cell_length_b 4.398
_cell_length_c 3.082
_cell_angle_alpha 90.00
_cell_angle_beta 90.00
_cell_angle_gamma 90.00
_space_group_name_H-M_alt 'P 4/m m m'
_space_group_IT_number 123
_space_group_name_Hall '-P 4 2'
loop_
_atom_site_label
_atom_site_fract_x
_atom_site_fract_y
_atom_site_fract_z
Ge1 0.000 0.500 0.000
Mo1 0.000 0.000 0.500
Ir1 0.500 0.500 0.500

=====

It turns out arrangement x is the most stable, with the second structure 517 meV/atom higher.

=====

Arrangement w

# GeMoIr3 GGA-PBE relaxed
# Total magnetic moment ... 0.60 μB per atom
data_GeMoIr3
_cell_length_a 4.521
_cell_length_b 4.521
_cell_length_c 4.521
_cell_angle_alpha 90.00
_cell_angle_beta 90.00
_cell_angle_gamma 90.00
_space_group_name_H-M_alt 'P m -3 m'
_space_group_IT_number 221
_space_group_name_Hall '-P 4 2 3'
loop_
_atom_site_label
_atom_site_fract_x
_atom_site_fract_y
_atom_site_fract_z
Ge1 0.000 0.000 0.000
Mo1 0.500 0.500 0.500
Ir1 0.000 0.000 0.500

=====

Arrangement x

# GeMoIr3 GGA-PBE relaxed
# Total magnetic moment ... 0.00 μB per atom
data_GeMoIr3
_cell_length_a 4.746
_cell_length_b 4.746
_cell_length_c 4.746
_cell_angle_alpha 90.00
_cell_angle_beta 90.00
_cell_angle_gamma 90.00
_space_group_name_H-M_alt 'P m -3 m'
_space_group_IT_number 221
_space_group_name_Hall '-P 4 2 3'
loop_
_atom_site_label
_atom_site_fract_x
_atom_site_fract_y
_atom_site_fract_z
Ge1 0.000 0.000 0.000
Mo1 0.500 0.500 0.500
Ir1 0.000 0.500 0.500

=====

It turns out arrangement w is the most stable, with the second structure 258 meV/atom higher.